No. 1
A geometry-optimized PmPu2Ge structure. Source: the Alexandria database, functional PBE-GGA.

The structure in CIF format:
```
data_PmPu2Ge
_cell_length_a 7.388
_cell_length_b 7.388
_cell_length_c 7.388
_cell_angle_alpha 90.00
_cell_angle_beta 90.00
_cell_angle_gamma 90.00
_symmetry_space_group_name_H-M 'F m -3 m'
_symmetry_Int_Tables_number 225
_symmetry_space_group_name_Hall '-F 4 2 3'
loop_
_atom_site_label
_atom_site_type_symbol
_atom_site_fract_x
_atom_site_fract_y
_atom_site_fract_z
Pm1 Pm 0.000 0.000 0.000
Pu1 Pu 0.250 0.250 0.250
Ge1 Ge 0.000 0.000 0.500
```

Properties
Energy of formation from the pure elements = 0.051 eV per atom
E = -0.695 Ry per atom
ΔE to the lowest computed polymorph = 317.8 meV per atom
V = 403.3 Å³/cell
Magnetization = 13.4 μB per formula unit

---

No. 2
A geometry-optimized ThTl2Cd structure. Source: the Alexandria database, functional PBE-GGA.

The structure in CIF format:
```
data_ThTl2Cd
_cell_length_a 3.4580
_cell_length_b 3.4580
_cell_length_c 34.8928
_cell_angle_alpha 90.00
_cell_angle_beta 90.00
_cell_angle_gamma 120.00
_symmetry_space_group_name_H-M 'R -3 m'
_symmetry_Int_Tables_number 166
_symmetry_space_group_name_Hall '-R 3 2"'
loop_
_atom_site_label
_atom_site_type_symbol
_atom_site_fract_x
_atom_site_fract_y
_atom_site_fract_z
Th1 Th 0.0000 0.0000 0.0000
Tl1 Tl 0.0000 0.0000 0.0941
Cd1 Cd 0.0000 0.0000 0.5000
```

Properties
Energy of formation from the pure elements = 0.198 eV per atom
E = -0.226 Ry per atom
ΔE to the lowest computed polymorph = 361.0 meV per atom
V = 361.3 Å³/cell
Magnetization = 0.0 μB per formula unit

---

No. 3
A geometry-optimized Sc3SeS3 structure. Source: the Alexandria database, functional PBE-GGA.

The structure in CIF format:
```
data_Sc3SeS3
_cell_length_a 7.4924
_cell_length_b 7.4924
_cell_length_c 18.2161
_cell_angle_alpha 90.00
_cell_angle_beta 90.00
_cell_angle_gamma 120.00
_symmetry_space_group_name_H-M 'R -3'
_symmetry_Int_Tables_number 148
_symmetry_space_group_name_Hall '-R 3'
loop_
_atom_site_label
_atom_site_type_symbol
_atom_site_fract_x
_atom_site_fract_y
_atom_site_fract_z
Sc1 Sc 0.0051 0.6150 0.0929
Se1 Se 0.0000 0.0000 0.3281
S1 S 0.0069 0.2710 0.1032
```

Properties
Formation energy (no corrections) = -1.703 eV/atom
E = -0.491 Ry per atom
ΔE to the lowest computed polymorph = 146.8 meV per atom
V = 885.6 Å³/cell
Magnetization = 0.0 μB per formula unit

---

No. 4
A geometry-optimized LiV3Ir structure. Source: the Alexandria database, functional PBE-GGA.

The structure in CIF format:
```
data_LiV3Ir
_cell_length_a 4.055
_cell_length_b 4.055
_cell_length_c 4.055
_cell_angle_alpha 90.00
_cell_angle_beta 90.00
_cell_angle_gamma 90.00
_symmetry_space_group_name_H-M 'P m -3 m'
_symmetry_Int_Tables_number 221
_symmetry_space_group_name_Hall '-P 4 2 3'
loop_
_atom_site_label
_atom_site_type_symbol
_atom_site_fract_x
_atom_site_fract_y
_atom_site_fract_z
Li1 Li 0.000 0.000 0.000
V1 V 0.000 0.000 0.500
Ir1 Ir 0.500 0.500 0.500
```

Properties
Energy of formation from the pure elements = 0.964 eV per atom
E = -0.490 Ry per atom
ΔE to the lowest computed polymorph = 26.2 meV per atom
V = 66.7 Å³/cell
Magnetization = 1.8 μB per formula unit

---

No. 5
A geometry-optimized Nd6Os2PdBr3 structure. Source: the Alexandria database, functional PBE-GGA.

The structure in CIF format:
```
data_Nd6Os2PdBr3
_cell_length_a 7.193
_cell_length_b 12.462
_cell_length_c 8.210
_cell_angle_alpha 90.00
_cell_angle_beta 106.95
_cell_angle_gamma 90.00
_symmetry_space_group_name_H-M 'C 1 2/m 1'
_symmetry_Int_Tables_number 12
loop_
_symmetry_equiv_pos_as_xyz
'x,y,z'
'-x,-y,-z'
'-x,y,-z'
'x,-y,z'
'x+1/2,y+1/2,z'
'-x+1/2,-y+1/2,-z'
'-x+1/2,y+1/2,-z'
'x+1/2,-y+1/2,z'
loop_
_atom_site_label
_atom_site_type_symbol
_atom_site_fract_x
_atom_site_fract_y
_atom_site_fract_z
Nd1 Nd 0.217 0.000 0.198
Nd2 Nd 0.241 0.326 0.198
Os1 Os 0.000 0.167 0.000
Pd1 Pd 0.000 0.500 0.000
Br1 Br 0.000 0.000 0.500
Br2 Br 0.000 0.331 0.500
```

Properties
Formation energy (no corrections) = -0.825 eV/atom
E = -0.436 Ry per atom
V = 704.0 Å³/cell
Magnetization = 0.0 μB per formula unit

---

No. 6
A geometry-optimized PaInSnSe structure. Source: the Alexandria database, functional PBE-GGA.

The structure in CIF format:
```
data_PaInSnSe
_cell_length_a 4.555
_cell_length_b 4.555
_cell_length_c 9.549
_cell_angle_alpha 90.00
_cell_angle_beta 90.00
_cell_angle_gamma 90.00
_symmetry_space_group_name_H-M 'P 4/n m m'
_symmetry_Int_Tables_number 129
loop_
_symmetry_equiv_pos_as_xyz
'x,y,z'
'-x,-y,-z'
'-y+1/2,x,z'
'y+1/2,-x,-z'
'-x+1/2,-y+1/2,z'
'x+1/2,y+1/2,-z'
'y,-x+1/2,z'
'-y,x+1/2,-z'
'x+1/2,-y,-z'
'-x+1/2,y,z'
'-y,-x,-z'
'y,x,z'
'-x,y+1/2,-z'
'x,-y+1/2,z'
'y+1/2,x+1/2,-z'
'-y+1/2,-x+1/2,z'
loop_
_atom_site_label
_atom_site_type_symbol
_atom_site_fract_x
_atom_site_fract_y
_atom_site_fract_z
Pa1 Pa 0.250 0.250 0.197
In1 In 0.250 0.750 0.500
Sn1 Sn 0.250 0.250 0.729
Se1 Se 0.250 0.750 0.000
```

Properties
Formation energy (no corrections) = -0.436 eV/atom
E = -0.394 Ry per atom
V = 198.1 Å³/cell
Magnetization = 0.9 μB per formula unit

---

No. 7
A geometry-optimized NdBeTe structure. Source: the Alexandria database, functional PBE-GGA.

The structure in CIF format:
```
data_NdBeTe
_cell_length_a 7.963
_cell_length_b 4.601
_cell_length_c 10.177
_cell_angle_alpha 90.00
_cell_angle_beta 94.94
_cell_angle_gamma 90.00
_symmetry_space_group_name_H-M 'C 1 2/m 1'
_symmetry_Int_Tables_number 12
loop_
_symmetry_equiv_pos_as_xyz
'x,y,z'
'-x,-y,-z'
'-x,y,-z'
'x,-y,z'
'x+1/2,y+1/2,z'
'-x+1/2,-y+1/2,-z'
'-x+1/2,y+1/2,-z'
'x+1/2,-y+1/2,z'
loop_
_atom_site_label
_atom_site_type_symbol
_atom_site_fract_x
_atom_site_fract_y
_atom_site_fract_z
Nd1 Nd 0.019 0.000 0.171
Be1 Be 0.169 0.500 0.019
Te1 Te 0.202 0.500 0.316
```

Properties
Formation energy (no corrections) = -0.467 eV/atom
E = -0.319 Ry per atom
V = 371.5 Å³/cell
Magnetization = 0.0 μB per formula unit

---

No. 8
A geometry-optimized Be3NbBi structure. Source: the Alexandria database, functional PBE-GGA.

The structure in CIF format:
```
data_Be3NbBi
_cell_length_a 4.553
_cell_length_b 4.553
_cell_length_c 4.553
_cell_angle_alpha 90.00
_cell_angle_beta 90.00
_cell_angle_gamma 90.00
_symmetry_space_group_name_H-M 'P m -3 m'
_symmetry_Int_Tables_number 221
_symmetry_space_group_name_Hall '-P 4 2 3'
loop_
_atom_site_label
_atom_site_type_symbol
_atom_site_fract_x
_atom_site_fract_y
_atom_site_fract_z
Be1 Be 0.000 0.000 0.500
Nb1 Nb 0.000 0.000 0.000
Bi1 Bi 0.500 0.500 0.500
```

Properties
Energy of formation from the pure elements = 1.219 eV per atom
E = -0.280 Ry per atom
ΔE to the lowest computed polymorph = 0.0 meV per atom
V = 94.4 Å³/cell
Magnetization = 0.0 μB per formula unit

---

No. 9
A geometry-optimized TlRh2Br structure. Source: the Alexandria database, functional PBE-GGA.

The structure in CIF format:
```
data_TlRh2Br
_cell_length_a 6.653
_cell_length_b 6.653
_cell_length_c 6.653
_cell_angle_alpha 90.00
_cell_angle_beta 90.00
_cell_angle_gamma 90.00
_symmetry_space_group_name_H-M 'F m -3 m'
_symmetry_Int_Tables_number 225
_symmetry_space_group_name_Hall '-F 4 2 3'
loop_
_atom_site_label
_atom_site_type_symbol
_atom_site_fract_x
_atom_site_fract_y
_atom_site_fract_z
Tl1 Tl 0.000 0.000 0.000
Rh1 Rh 0.250 0.250 0.250
Br1 Br 0.000 0.000 0.500
```

Properties
Formation energy (no corrections) = 0.529 eV/atom
E = -0.305 Ry per atom
ΔE to the lowest computed polymorph = 291.0 meV per atom
V = 294.5 Å³/cell
Magnetization = 1.6 μB per formula unit

---

No. 10
A geometry-optimized BeSb2TeW structure. Source: the Alexandria database, functional PBE-GGA.

The structure in CIF format:
```
data_BeSb2TeW
_cell_length_a 5.299
_cell_length_b 5.299
_cell_length_c 5.236
_cell_angle_alpha 90.00
_cell_angle_beta 90.00
_cell_angle_gamma 90.00
_symmetry_space_group_name_H-M 'P 4/m m m'
_symmetry_Int_Tables_number 123
_symmetry_space_group_name_Hall '-P 4 2'
loop_
_atom_site_label
_atom_site_type_symbol
_atom_site_fract_x
_atom_site_fract_y
_atom_site_fract_z
Be1 Be 0.000 0.000 0.000
Sb1 Sb 0.000 0.500 0.500
Te1 Te 0.500 0.500 0.000
W1 W 0.500 0.500 0.500
```

Properties
Formation energy (no corrections) = 1.106 eV/atom
E = -0.331 Ry per atom
ΔE to the lowest computed polymorph = 0.0 meV per atom
V = 147.0 Å³/cell
Magnetization = 0.0 μB per formula unit

---

No. 11
A geometry-optimized MgSnRu structure. Source: the Alexandria database, functional PBE-GGA.

The structure in CIF format:
```
data_MgSnRu
_cell_length_a 4.536
_cell_length_b 6.061
_cell_length_c 9.025
_cell_angle_alpha 90.00
_cell_angle_beta 90.00
_cell_angle_gamma 90.00
_symmetry_space_group_name_H-M 'A m m 2'
_symmetry_Int_Tables_number 38
loop_
_symmetry_equiv_pos_as_xyz
'x,y,z'
'-x,-y,z'
'-x,y,z'
'x,-y,z'
'x,y+1/2,z+1/2'
'-x,-y+1/2,z+1/2'
'-x,y+1/2,z+1/2'
'x,-y+1/2,z+1/2'
loop_
_atom_site_label
_atom_site_type_symbol
_atom_site_fract_x
_atom_site_fract_y
_atom_site_fract_z
Mg1 Mg 0.000 0.000 0.000
Mg2 Mg 0.500 0.000 0.232
Sn1 Sn 0.000 0.000 0.475
Sn2 Sn 0.500 0.000 0.751
Ru1 Ru 0.500 0.240 0.490
```

Properties
Energy of formation from the pure elements = -0.158 eV per atom
E = -0.376 Ry per atom
V = 248.1 Å³/cell
Magnetization = 0.0 μB per formula unit

---

No. 12
A geometry-optimized Nd2SmIn4 structure. Source: the Alexandria database, functional PBE-GGA.

The structure in CIF format:
```
data_Nd2SmIn4
_cell_length_a 6.336
_cell_length_b 8.593
_cell_length_c 8.945
_cell_angle_alpha 115.22
_cell_angle_beta 108.91
_cell_angle_gamma 94.00
_symmetry_space_group_name_H-M 'P 1'
_symmetry_Int_Tables_number 1
loop_
_symmetry_equiv_pos_as_xyz
'x,y,z'
loop_
_atom_site_label
_atom_site_type_symbol
_atom_site_fract_x
_atom_site_fract_y
_atom_site_fract_z
Nd1 Nd 0.000 0.000 0.000
Nd2 Nd 0.048 0.022 0.536
Nd3 Nd 0.150 0.464 0.832
Nd4 Nd 0.828 0.541 0.171
Sm1 Sm 0.398 0.771 0.615
Sm2 Sm 0.588 0.219 0.387
In1 In 0.112 0.339 0.421
In2 In 0.269 0.815 0.241
In3 In 0.349 0.458 0.223
In4 In 0.449 0.141 0.958
In5 In 0.580 0.850 0.070
In6 In 0.633 0.533 0.776
In7 In 0.704 0.173 0.750
In8 In 0.868 0.658 0.576
```

Properties
Energy of formation from the pure elements = -0.430 eV per atom
E = -0.296 Ry per atom
ΔE to the lowest computed polymorph = 0.0 meV per atom
V = 404.4 Å³/cell
Magnetization = 0.0 μB per formula unit